An optimized crystal structure of Bi17W3O34. Source: the Alexandria database, functional GGA+U.

total DFT energy (no corrections): -6.13 eV/atom
magnetization: 0.98 μB/f.u.

a b c (Å): 10.3051 10.4240 10.4400
angles (deg): 107.97 106.23 113.11
Space group P1 (No. 1)
One atom of each set of equivalent atoms:
Bi 0.0000 0.0000 0.0000 x1
Bi 0.0154 0.3395 0.8780 x1
Bi 0.0930 0.7091 0.8205 x1
Bi 0.1301 0.0528 0.7176 x1
Bi 0.1512 0.3845 0.5938 x1
Bi 0.2986 0.1056 0.4214 x1
Bi 0.3421 0.4514 0.2817 x1
Bi 0.3791 0.7993 0.2161 x1
Bi 0.4626 0.1422 0.1277 x1
Bi 0.5389 0.8559 0.9121 x1
Bi 0.5865 0.1913 0.7909 x1
Bi 0.6234 0.5291 0.6602 x1
Bi 0.7016 0.8977 0.5745 x1
Bi 0.7944 0.5935 0.4002 x1
Bi 0.8513 0.9615 0.3162 x1
Bi 0.8804 0.2877 0.1865 x1
Bi 0.9301 0.6472 0.0790 x1
W 0.1994 0.7139 0.4986 x1
W 0.4551 0.4774 0.9915 x1
W 0.7454 0.2697 0.5154 x1
O 0.0220 0.6445 0.3087 x1
O 0.0353 0.7105 0.5826 x1
O 0.0966 0.2606 0.1191 x1
O 0.0977 0.4634 0.4170 x1
O 0.1080 0.6275 0.0191 x1
O 0.1221 0.1386 0.4890 x1
O 0.1254 0.9504 0.1859 x1
O 0.1781 0.9934 0.9211 x1
O 0.2047 0.3151 0.8223 x1
O 0.2870 0.9312 0.5740 x1
O 0.3066 0.7183 0.6849 x1
O 0.3391 0.7105 0.4146 x1
O 0.3588 0.5663 0.1028 x1
O 0.3844 0.3347 0.4257 x1
O 0.4047 0.8616 0.0340 x1
O 0.4375 0.3621 0.1235 x1
O 0.4579 0.5924 0.8828 x1
O 0.4654 0.3117 0.8543 x1
O 0.5292 0.1056 0.3555 x1
O 0.5614 0.0978 0.9684 x1
O 0.6175 0.3093 0.6434 x1
O 0.6292 0.8719 0.3420 x1
O 0.6384 0.6425 0.5045 x1
O 0.6678 0.6123 0.1231 x1
O 0.7310 0.3126 0.3010 x1
O 0.7606 0.4745 0.5497 x1
O 0.7751 0.1693 0.6483 x1
O 0.7932 0.0281 0.1194 x1
O 0.8175 0.3800 0.9769 x1
O 0.8815 0.6931 0.8551 x1
O 0.8849 0.1973 0.4449 x1
O 0.8860 0.8875 0.5098 x1
O 0.9426 0.0542 0.7921 x1
O 0.9979 0.4382 0.7009 x1